The following is a DFT calculation (PBE) of a relaxed Pm3Nd2Zn2 crystal.

a b c (Å): 3.7029 3.6351 15.5087
angles (deg): 90.00 96.86 90.00
Site moments in Bohr magnetons follow the coordinates.
Fractional positions:
Nd: 0.7004 0.5000 0.4009  0.13
Pm: 0.4155 0.5000 0.8311  0.01
Zn: 0.1418 0.0000 0.2836  0.00
Pm: 0.5845 0.5000 0.1689  0.01
Zn: 0.8582 0.0000 0.7164  0.00
Nd: 0.2996 0.5000 0.5991  0.13
Pm: 0.0000 0.0000 0.0000  0.01

Summary:
The energy above the most stable polymorph in this dataset is 0.008 eV/atom. As for the density of states at the Fermi level: 8.01 states/eV/f.u.

The following is a DFT calculation (PBE) of a relaxed PmNd2Zn5 crystal.

a b c (Å): 4.9253 4.9253 8.1046
angles (deg): 107.69 107.69 90.00
Fractional positions:
Zn: 0.3878 0.8878 0.7755
Nd: 0.2700 0.2700 0.5400
Pm: 0.0000 0.0000 0.0000
Zn: 0.8878 0.3878 0.7755
Nd: 0.7300 0.7300 0.4600
Zn: 0.6122 0.1122 0.2245
Zn: 0.1122 0.6122 0.2245
Zn: 0.5000 0.5000 0.0000

Summary:
As for the density of states at the Fermi level: 4.46 states/eV/f.u. The value obtained for the total energy is -22.952 eV/cell.

The following is a DFT calculation (PBE) of a relaxed Pm2Nd2Zn crystal.

a b c (Å): 3.6785 3.6785 11.7050
angles (deg): 99.04 99.04 90.00
Fractional positions:
Nd: 0.1935 0.1935 0.3870
Pm: 0.4212 0.4212 0.8423
Nd: 0.8065 0.8065 0.6130
Zn: 0.0000 0.0000 0.0000
Pm: 0.5788 0.5788 0.1577

Summary:
The energy above the most stable polymorph in this dataset is 0.000 eV/atom. As for the density of states at the Fermi level: 5.67 states/eV/f.u.

The following is a DFT calculation (PBE) of a relaxed PmNdZn crystal.

a b c (Å): 5.0833 5.0833 5.0833
angles (deg): 60.00 60.00 60.00
Fractional positions:
Pm: 0.5000 0.5000 0.5000
Nd: 0.0000 0.0000 0.0000
Zn: 0.2500 0.2500 0.2500

Summary:
The energy above the most stable polymorph in this dataset is 0.232 eV/atom. As for the density of states at the Fermi level: 5.75 states/eV/f.u.

The following is a DFT calculation (PBE) of a relaxed PmNdZn4 crystal.

a b c (Å): 5.5680 5.5680 5.5680
angles (deg): 60.00 60.00 60.00
Fractional positions:
Zn: 0.1247 0.6251 0.6251
Zn: 0.6251 0.6251 0.6251
Zn: 0.6251 0.6251 0.1247
Zn: 0.6251 0.1247 0.6251
Nd: 0.2500 0.2500 0.2500
Pm: 0.0000 0.0000 0.0000

Summary:
The energy above the most stable polymorph in this dataset is 0.021 eV/atom. As for the density of states at the Fermi level: 2.34 states/eV/f.u.

The following is a DFT calculation (PBE) of a relaxed Pm2NdZn crystal.

a b c (Å): 4.8672 4.8590 4.8590
angles (deg): 90.00 90.00 90.00
Fractional positions:
Zn: 0.5000 0.0000 0.0000
Pm: 0.0000 0.5000 0.0000
Pm: 0.0000 0.0000 0.5000
Nd: 0.5000 0.5000 0.5000

Summary:
The energy above the most stable polymorph in this dataset is 0.117 eV/atom. As for the density of states at the Fermi level: 6.56 states/eV/f.u.

The following is a DFT calculation (PBE) of a relaxed PmNd4Zn2 crystal.

a b c (Å): 5.1009 5.1009 10.5095
angles (deg): 75.96 75.96 60.00
Fractional positions:
Nd: 0.2981 0.2981 0.1056
Zn: 0.5996 0.5996 0.2012
Pm: 0.5000 0.5000 0.5000
Nd: 0.8979 0.8979 0.3063
Nd: 0.1021 0.1021 0.6937
Zn: 0.4004 0.4004 0.7988
Nd: 0.7019 0.7019 0.8944

Summary:
As for the density of states at the Fermi level: 14.28 states/eV/f.u. The value obtained for the total energy is -25.390 eV/cell.

The following is a DFT calculation (PBE) of a relaxed PmNdZn3 crystal.

a b c (Å): 3.6296 4.5707 13.9995
angles (deg): 90.00 97.45 90.00
Fractional positions:
Zn: 0.4770 0.2500 0.9540
Zn: 0.6164 0.7500 0.2329
Zn: 0.3324 0.7500 0.6649
Zn: 0.3836 0.2500 0.7671
Pm: 0.0707 0.2500 0.1414
Zn: 0.5230 0.7500 0.0460
Pm: 0.9293 0.7500 0.8586
Zn: 0.6676 0.2500 0.3351
Nd: 0.7919 0.2500 0.5838
Nd: 0.2081 0.7500 0.4162

Summary:
As for the density of states at the Fermi level: 4.82 states/eV/f.u. The value obtained for the total energy is -29.827 eV/cell.

The following is a DFT calculation (PBE) of a relaxed PmNd3Zn2 crystal.

a b c (Å): 3.6900 3.6900 12.5039
angles (deg): 90.00 90.00 90.00
Fractional positions:
Pm: 0.5000 0.5000 0.5000
Zn: 0.5000 0.5000 0.1461
Zn: 0.5000 0.5000 0.8539
Nd: 0.0000 0.0000 0.2908
Nd: 0.0000 0.0000 0.0000
Nd: 0.0000 0.0000 0.7092

Summary:
The energy above the most stable polymorph in this dataset is 0.000 eV/atom. As for the density of states at the Fermi level: 5.85 states/eV/f.u.

The following is a DFT calculation (PBE) of a relaxed Pm6Nd2Zn crystal.

a b c (Å): 3.7490 9.5298 9.5284
angles (deg): 120.00 90.00 90.00
Fractional positions:
Pm: 0.5000 0.6174 0.0000
Zn: 0.5000 0.0001 0.0000
Nd: 0.0000 0.3333 0.6665
Pm: 0.5000 0.0001 0.6177
Nd: 0.0000 0.6668 0.3335
Pm: 0.0000 0.7430 0.7431
Pm: 0.0000 0.2572 0.0000
Pm: 0.5000 0.3824 0.3823
Pm: 0.0000 0.9999 0.2569

Summary:
The energy above the most stable polymorph in this dataset is 0.000 eV/atom. As for the density of states at the Fermi level: 11.36 states/eV/f.u.

The following is a DFT calculation (PBE) of a relaxed PmNd6Zn2 crystal.

a b c (Å): 3.7507 6.6845 11.8564
angles (deg): 76.32 80.90 73.71
Fractional positions:
Nd: 0.3124 0.7845 0.5907
Nd: 0.3111 0.5029 0.8749
Nd: 0.9729 0.7263 0.3279
Zn: 0.6475 0.9056 0.7994
Zn: 0.3525 0.0944 0.2006
Nd: 0.0271 0.2737 0.6721
Pm: 0.0000 0.0000 0.0000
Nd: 0.6876 0.2155 0.4093
Nd: 0.6889 0.4971 0.1251

Summary:
As for the density of states at the Fermi level: 9.57 states/eV/f.u. The value obtained for the total energy is -37.103 eV/cell.

The following is a DFT calculation (PBE) of a relaxed Pm2Nd8Zn crystal.

a b c (Å): 5.7043 7.5937 9.4820
angles (deg): 108.53 107.51 90.00
Fractional positions:
Zn: 0.5000 0.0000 0.0000
Pm: 0.8144 0.3323 0.6288
Nd: 0.8148 0.7732 0.6295
Nd: 0.6560 0.9333 0.3120
Pm: 0.1856 0.6677 0.3712
Nd: 0.1852 0.2268 0.3705
Nd: 0.9878 0.2248 0.9756
Nd: 0.0122 0.7752 0.0244
Nd: 0.3958 0.5782 0.7916
Nd: 0.6042 0.4218 0.2084
Nd: 0.3440 0.0667 0.6880

Summary:
The energy above the most stable polymorph in this dataset is 0.063 eV/atom. As for the density of states at the Fermi level: 16.67 states/eV/f.u.

Number 1: M_tot 0.58 μB per formula unit. Number 2: M_tot 0.00 μB per formula unit. Number 3: M_tot 0.00 μB per formula unit. Number 4: M_tot 0.00 μB per formula unit. Number 5: M_tot 0.00 μB per formula unit. Number 6: M_tot 0.00 μB per formula unit. Number 7: M_tot 0.02 μB per formula unit. Number 8: M_tot 0.00 μB per formula unit. Number 9: M_tot 0.00 μB per formula unit. Number 10: M_tot 0.00 μB per formula unit. Number 11: M_tot 0.00 μB per formula unit. Number 12: M_tot 0.00 μB per formula unit.